VASP calculation (PBE-GGA) on a relaxed Mn2HgAu crystal.

As for the formation enthalpy at 0 K: 1.9 eV/f.u.

The structure belongs to space group I-42d (No. 122); the cell edges are 7.356, 7.356 and 5.728 Å and the angles 90.00°, 90.00° and 90.00°. The inequivalent atoms are Mn at (0.236, 0.250, 0.125), Hg at (0.000, 0.000, 0.500) and Au at (0.000, 0.000, 0.000).


VASP calculation (PBE-GGA) on a relaxed AcPH crystal.

For the energy relative to the lowest polymorph listed for this composition, the calculation gives 7.84 kcal/mol of atoms.

The structure belongs to space group I4mm (No. 107); the cell edges are 4.226, 4.226 and 7.508 Å and the angles 90.00°, 90.00° and 90.00°. The inequivalent atoms are Ac at (0.000, 0.000, 0.000), P at (0.000, 0.000, 0.598) and H at (0.000, 0.000, 0.389).


VASP calculation (PBE-GGA) on a relaxed Er3AlSb crystal.

For the uncorrected formation energy, the calculation gives -2.336 eV/f.u.

The structure belongs to space group P-1 (No. 2); the cell edges are 3.490, 8.245 and 9.381 Å and the angles 102.80°, 99.75° and 92.30°. The inequivalent atoms are Er at (0.054, 0.275, 0.006), Er at (0.186, 0.877, 0.359), Er at (0.191, 0.311, 0.392), Al at (0.418, 0.957, 0.847) and Sb at (0.372, 0.449, 0.761).


VASP calculation (PBE-GGA) on a relaxed CaNd2Dy3Te6 crystal.

For the uncorrected formation energy, the calculation gives -16.705 eV/f.u.

The structure belongs to space group C2/m (No. 12); the cell edges are 19.351, 4.406 and 8.892 Å and the angles 90.00°, 103.64° and 90.00°. The inequivalent atoms are Ca at (0.000, 0.000, 0.000), Nd at (0.173, 0.500, 0.344), Dy at (0.000, 0.000, 0.500), Dy at (0.170, 0.500, 0.829), Te at (0.001, 0.500, 0.748), Te at (0.161, 0.000, 0.589) and Te at (0.166, 0.000, 0.075).


VASP calculation (PBE-GGA) on a relaxed Sm9Tm2Tl crystal.

As for the formation enthalpy at 0 K: -0.5 eV/f.u.

The structure belongs to space group P4/mmm (No. 123); the cell edges are 5.008, 5.008 and 15.317 Å and the angles 90.00°, 90.00° and 90.00°. The inequivalent atoms are Sm at (0.000, 0.000, 0.000), Sm at (0.000, 0.000, 0.331), Sm at (0.000, 0.500, 0.163), Sm at (0.000, 0.500, 0.500), Tm at (0.500, 0.500, 0.332) and Tl at (0.500, 0.500, 0.000).


VASP calculation (PBE-GGA) on a relaxed Rb3Ge5Te12 crystal.

For the uncorrected formation energy, the calculation gives -2.295 eV/f.u.

The structure belongs to space group Ia-3d (No. 230); the cell edges are 18.088, 18.088 and 18.088 Å and the angles 90.00°, 90.00° and 90.00°. The inequivalent atoms are Rb at (0.000, 0.250, 0.125), Ge at (0.000, 0.000, 0.000), Ge at (0.000, 0.250, 0.375) and Te at (0.043, 0.059, 0.643).


VASP calculation (PBE-GGA) on a relaxed Er2AgRu crystal.

As for the formation enthalpy at 0 K: -1.8 eV/f.u.

The structure belongs to space group P4/mmm (No. 123); the cell edges are 3.390, 3.390 and 7.458 Å and the angles 90.00°, 90.00° and 90.00°. The inequivalent atoms are Er at (0.000, 0.000, 0.222), Ag at (0.500, 0.500, 0.500) and Ru at (0.500, 0.500, 0.000).


VASP calculation (PBE-GGA) on a relaxed Dy2HAu crystal.

For the energy relative to the lowest polymorph listed for this composition, the calculation gives 5.12 kcal/mol of atoms.

The structure belongs to space group R-3m (No. 166, hexagonal axes); the cell edges are 3.8940, 3.8940 and 19.4563 Å and the angles 90.00°, 90.00° and 120.00°. The inequivalent atoms are Dy at (0.0000, 0.0000, 0.2379), H at (0.0000, 0.0000, 0.5000) and Au at (0.0000, 0.0000, 0.0000).


VASP calculation (PBE-GGA) on a relaxed MgScMo2 crystal.

As for the formation enthalpy at 0 K: 1.1 eV/f.u.

The structure belongs to space group Cm (No. 8); the cell edges are 9.463, 2.761 and 5.502 Å and the angles 90.00°, 91.43° and 90.00°. The inequivalent atoms are Mg at (0.000, 0.000, 0.000), Sc at (0.248, 0.500, 0.263), Mo at (0.260, 0.000, 0.742) and Mo at (0.499, 0.000, 0.525).


VASP calculation (PBE-GGA) on a relaxed BaLa2Sb crystal.

For the uncorrected formation energy, the calculation gives -2.003 eV/f.u.

The structure belongs to space group P4mm (No. 99); the cell edges are 4.276, 4.276 and 8.572 Å and the angles 90.00°, 90.00° and 90.00°. The inequivalent atoms are Ba at (0.000, 0.000, 0.000), La at (0.000, 0.000, 0.585), La at (0.500, 0.500, 0.349) and Sb at (0.500, 0.500, 0.740).


VASP calculation (PBE-GGA) on a relaxed Tb2Mg5Ag crystal.

As for the formation enthalpy at 0 K: -0.7 eV/f.u.

The structure belongs to space group R-3m (No. 166, hexagonal axes); the cell edges are 5.1008, 5.1008 and 24.7646 Å and the angles 90.00°, 90.00° and 120.00°. The inequivalent atoms are Tb at (0.0000, 0.0000, 0.2461), Mg at (0.0000, 0.0000, 0.1200), Mg at (0.0000, 0.0000, 0.3715), Mg at (0.0000, 0.0000, 0.5000) and Ag at (0.0000, 0.0000, 0.0000).


VASP calculation (PBE-GGA) on a relaxed Li4GaCu2 crystal.

As for the formation enthalpy at 0 K: -0.4 eV/f.u.

The structure belongs to space group Immm (No. 71); the cell edges are 4.978, 5.336 and 7.669 Å and the angles 90.00°, 90.00° and 90.00°. The inequivalent atoms are Li at (0.000, 0.227, 0.199), Ga at (0.000, 0.500, 0.500) and Cu at (0.234, 0.000, 0.500).